(1)
## CsZnFeTe2 (meta-GGA SCAN)

Data for a PBEsol-optimized structure of CsZnFeTe2.

As for the formation energy without anion corrections: 0.1504 eV per atom. As for the space-group type: No. 123. The magnetic moment comes out at 3.28 Bohr magnetons per cell.

a = 4.8661 Å, b = 5.5030 Å, c = 5.5030 Å
α = 90.00°, β = 90.00°, γ = 90.00°
Atoms (fractional coordinates):
1 Te 0.0000 0.0000 0.5000
2 Fe 0.5000 0.0000 0.0000
3 Te 0.0000 0.5000 0.0000
4 Zn 0.0000 0.0000 0.0000
5 Cs 0.5000 0.5000 0.5000

(2)
## CsTi3Fe (meta-GGA SCAN)

Data for a PBEsol-optimized structure of CsTi3Fe.

The energy of formation from the pure elements is 2.328 eV per atom. As for the space-group type: No. 221. The magnetic moment comes out at 0.61 Bohr magnetons per cell.

a = 4.8450 Å, b = 4.8450 Å, c = 4.8450 Å
α = 90.00°, β = 90.00°, γ = 90.00°
Atoms (fractional coordinates):
1 Fe 0.5000 0.5000 0.5000
2 Ti 0.0000 0.5000 0.0000
3 Ti 0.5000 0.0000 0.0000
4 Ti 0.0000 0.0000 0.5000
5 Cs 0.0000 0.0000 0.0000

(3)
## CsFeW3 (meta-GGA SCAN)

Data for a PBEsol-optimized structure of CsFeW3.

The energy of formation from the pure elements is 2.405 eV per atom. As for the space-group type: No. 221. The magnetic moment comes out at 0.00 Bohr magnetons per cell.

a = 4.6157 Å, b = 4.6157 Å, c = 4.6157 Å
α = 90.00°, β = 90.00°, γ = 90.00°
Atoms (fractional coordinates):
1 Fe 0.0000 0.0000 0.0000
2 W 0.0000 0.0000 0.5000
3 W 0.5000 0.0000 0.0000
4 Cs 0.5000 0.5000 0.5000
5 W 0.0000 0.5000 0.0000

(4)
## Cs2YFe (meta-GGA SCAN)

Data for a PBEsol-optimized structure of Cs2YFe.

The energy of formation from the pure elements is 1.370 eV per atom. As for the space-group type: No. 225. The magnetic moment comes out at 1.07 Bohr magnetons per cell.

a = 5.9682 Å, b = 5.9682 Å, c = 5.9682 Å
α = 60.00°, β = 60.00°, γ = 60.00°
Atoms (fractional coordinates):
1 Y 0.5000 0.5000 0.5000
2 Cs 0.7500 0.7500 0.7500
3 Fe 0.0000 0.0000 0.0000
4 Cs 0.2500 0.2500 0.2500

(5)
## CsGa2H (meta-GGA SCAN)

Data for a PBEsol-optimized structure of CsGa2H.

Its total energy is -18.154 eV/atom. As for the space-group type: No. 227. The magnetic moment comes out at 0.00 Bohr magnetons per cell.

a = 6.3696 Å, b = 6.3696 Å, c = 6.3696 Å
α = 60.00°, β = 60.00°, γ = 60.00°
Atoms (fractional coordinates):
1 Cs 0.2500 0.2500 0.2500
2 Ga 0.1250 0.6250 0.6250
3 H 0.5000 0.5000 0.5000
4 H 0.7500 0.7500 0.7500
5 Ga 0.6250 0.6250 0.1250
6 Ga 0.6250 0.6250 0.6250
7 Cs 0.0000 0.0000 0.0000
8 Ga 0.6250 0.1250 0.6250

(6)
## CsGaH4 (meta-GGA SCAN)

Data for a PBEsol-optimized structure of CsGaH4.

Its total energy is -11.598 eV/atom. As for the space-group type: No. 137. The magnetic moment comes out at 0.00 Bohr magnetons per cell.

a = 5.3634 Å, b = 5.3634 Å, c = 7.5534 Å
α = 90.00°, β = 90.00°, γ = 90.00°
Atoms (fractional coordinates):
1 Ga 0.5000 0.5000 0.5000
2 Ga 0.0000 0.0000 0.0000
3 H 0.0000 0.2420 0.8775
4 H 0.2420 0.0000 0.1225
5 H 0.7580 0.0000 0.1225
6 Cs 0.5000 0.5000 0.0000
7 H 0.5000 0.2580 0.6225
8 H 0.2580 0.5000 0.3775
9 H 0.7420 0.5000 0.3775
10 H 0.0000 0.7580 0.8775
11 Cs 0.0000 0.0000 0.5000
12 H 0.5000 0.7420 0.6225

(7)
## CsMnGa2P3H4O14 (meta-GGA SCAN)

Data for a PBEsol-optimized structure of CsMnGa2P3H4O14.

Its total energy is -10.859 eV/atom. As for the space-group type: No. 15. The magnetic moment comes out at 2.00 Bohr magnetons per cell.

a = 8.3435 Å, b = 8.3435 Å, c = 8.8530 Å
α = 75.69°, β = 75.69°, γ = 76.68°
Atoms (fractional coordinates):
1 H 0.9394 0.3591 0.4622
2 Mn 0.2640 0.7360 0.2500
3 H 0.7878 0.5088 0.5129
4 H 0.5088 0.7878 0.0129
5 O 0.8812 0.7020 0.6615
6 O 0.9731 0.1393 0.1111
7 Ga 0.2504 0.0998 0.4275
8 O 0.8607 0.0269 0.3889
9 P 0.9927 0.0073 0.7500
10 O 0.6768 0.7639 0.4600
11 O 0.0269 0.8607 0.8889
12 H 0.3591 0.9394 0.9622
13 O 0.1751 0.6146 0.4698
14 P 0.5768 0.8357 0.3241
15 Ga 0.0998 0.2504 0.9275
16 O 0.7019 0.4811 0.8212
17 O 0.5189 0.2981 0.6788
18 O 0.0109 0.4696 0.8426
19 P 0.0073 0.9927 0.2500
20 O 0.6146 0.1751 0.9698
21 H 0.6409 0.0606 0.0378
22 Cs 0.3623 0.6377 0.7500
23 O 0.7020 0.8812 0.1615
24 P 0.8357 0.5768 0.8241
25 Mn 0.7360 0.2640 0.7500
26 O 0.2980 0.1188 0.8385
27 H 0.0606 0.6409 0.5378
28 Ga 0.7496 0.9002 0.5725
29 O 0.2361 0.3232 0.0400
30 Ga 0.9002 0.7496 0.0725
31 Cs 0.6377 0.3623 0.2500
32 O 0.5304 0.9891 0.6574
33 O 0.1393 0.9731 0.6111
34 O 0.9756 0.1813 0.7935
35 O 0.2981 0.5189 0.1788
36 O 0.1813 0.9756 0.2935
37 O 0.7639 0.6768 0.9600
38 O 0.1188 0.2980 0.3385
39 H 0.4912 0.2122 0.9871
40 O 0.3232 0.2361 0.5400
41 O 0.9891 0.5304 0.1574
42 O 0.0244 0.8187 0.2065
43 O 0.3854 0.8249 0.0302
44 O 0.8249 0.3854 0.5302
45 O 0.4696 0.0109 0.3426
46 P 0.4232 0.1643 0.6759
47 O 0.8187 0.0244 0.7065
48 H 0.2122 0.4912 0.4871
49 O 0.4811 0.7019 0.3212
50 P 0.1643 0.4232 0.1759

(8)
## Cs2GaHSe (meta-GGA SCAN)

Data for a PBEsol-optimized structure of Cs2GaHSe.

Its total energy is -23.292 eV/atom. As for the space-group type: No. 123. The magnetic moment comes out at 0.00 Bohr magnetons per cell.

a = 5.0506 Å, b = 6.8453 Å, c = 6.8453 Å
α = 90.00°, β = 90.00°, γ = 90.00°
Atoms (fractional coordinates):
1 Ga 0.5000 0.0000 0.0000
2 Cs 0.0000 0.5000 0.0000
3 H 0.5000 0.5000 0.5000
4 Cs 0.0000 0.0000 0.5000
5 Se 0.0000 0.0000 0.0000

(9)
## CsTlGa2Hg (meta-GGA SCAN)

Data for a PBEsol-optimized structure of CsTlGa2Hg.

The energy of formation from the pure elements is 0.235 eV per atom. As for the space-group type: No. 123. The magnetic moment comes out at 0.00 Bohr magnetons per cell.

a = 5.3126 Å, b = 5.3126 Å, c = 5.9529 Å
α = 90.00°, β = 90.00°, γ = 90.00°
Atoms (fractional coordinates):
1 Ga 0.5000 0.0000 0.0000
2 Hg 0.0000 0.0000 0.0000
3 Tl 0.0000 0.0000 0.5000
4 Cs 0.5000 0.5000 0.5000
5 Ga 0.0000 0.5000 0.0000

(10)
## Cs3GaI6 (meta-GGA SCAN)

Data for a PBEsol-optimized structure of Cs3GaI6.

As for the formation energy without anion corrections: -1.1264 eV per atom. As for the space-group type: No. 225. The magnetic moment comes out at 0.00 Bohr magnetons per cell.

a = 8.8411 Å, b = 8.8411 Å, c = 8.8411 Å
α = 60.00°, β = 60.00°, γ = 60.00°
Atoms (fractional coordinates):
1 I 0.2209 0.7791 0.2209
2 I 0.2209 0.7791 0.7791
3 Ga 0.0000 0.0000 0.0000
4 I 0.7791 0.7791 0.2209
5 Cs 0.5000 0.5000 0.5000
6 I 0.7791 0.2209 0.2209
7 I 0.2209 0.2209 0.7791
8 I 0.7791 0.2209 0.7791
9 Cs 0.7500 0.7500 0.7500
10 Cs 0.2500 0.2500 0.2500

(11)
## CsIn2Ga2 (meta-GGA SCAN)

Data for a PBEsol-optimized structure of CsIn2Ga2.

The energy of formation from the pure elements is -0.132 eV per atom. As for the space-group type: No. 139. The magnetic moment comes out at 0.00 Bohr magnetons per cell.

a = 4.8087 Å, b = 4.8087 Å, c = 6.8922 Å
α = 110.42°, β = 110.42°, γ = 90.00°
Atoms (fractional coordinates):
1 Cs 0.0000 0.0000 0.0000
2 Ga 0.2500 0.7500 0.5000
3 Ga 0.7500 0.2500 0.5000
4 In 0.3746 0.3746 0.7492
5 In 0.6254 0.6254 0.2508

(12)
## CsGa3Ir (meta-GGA SCAN)

Data for a PBEsol-optimized structure of CsGa3Ir.

The energy of formation from the pure elements is -0.337 eV per atom. As for the space-group type: No. 221. The magnetic moment comes out at 0.00 Bohr magnetons per cell.

a = 4.8694 Å, b = 4.8694 Å, c = 4.8694 Å
α = 90.00°, β = 90.00°, γ = 90.00°
Atoms (fractional coordinates):
1 Ga 0.5000 0.0000 0.0000
2 Ga 0.0000 0.0000 0.5000
3 Ir 0.0000 0.0000 0.0000
4 Cs 0.5000 0.5000 0.5000
5 Ga 0.0000 0.5000 0.0000

(13)
## Cs6K3GaSb4 (meta-GGA SCAN)

Data for a PBEsol-optimized structure of Cs6K3GaSb4.

As for the formation energy without anion corrections: -0.5529 eV per atom. As for the space-group type: No. 194. The magnetic moment comes out at 0.00 Bohr magnetons per cell.

a = 10.9034 Å, b = 10.9034 Å, c = 11.3692 Å
α = 90.00°, β = 90.00°, γ = 120.00°
Atoms (fractional coordinates):
1 K 0.8808 0.7616 0.7500
2 Cs 0.2093 0.4187 0.5414
3 Sb 0.4734 0.5266 0.2500
4 Cs 0.7907 0.2093 0.4586
5 Cs 0.5813 0.7907 0.5414
6 Cs 0.2093 0.4187 0.9586
7 Ga 0.3333 0.6667 0.2500
8 K 0.2384 0.1192 0.7500
9 Cs 0.2093 0.7907 0.9586
10 Sb 0.4734 0.9468 0.2500
11 Cs 0.7907 0.5813 0.0414
12 Cs 0.4187 0.2093 0.4586
13 Cs 0.4187 0.2093 0.0414
14 Sb 0.0532 0.5266 0.2500
15 Cs 0.7907 0.5813 0.4586
16 K 0.8808 0.1192 0.7500
17 Cs 0.5813 0.7907 0.9586
18 K 0.1192 0.8808 0.2500
19 Cs 0.2093 0.7907 0.5414
20 Sb 0.9468 0.4734 0.7500
21 Ga 0.6667 0.3333 0.7500
22 Sb 0.5266 0.0532 0.7500
23 K 0.7616 0.8808 0.2500
24 Sb 0.0000 0.0000 0.5000
25 K 0.1192 0.2384 0.2500
26 Sb 0.5266 0.4734 0.7500
27 Sb 0.0000 0.0000 0.0000
28 Cs 0.7907 0.2093 0.0414

(14)
## CsLa3Ga (meta-GGA SCAN)

Data for a PBEsol-optimized structure of CsLa3Ga.

The energy of formation from the pure elements is 0.146 eV per atom. As for the space-group type: No. 221. The magnetic moment comes out at 0.00 Bohr magnetons per cell.

a = 5.9093 Å, b = 5.9093 Å, c = 5.9093 Å
α = 90.00°, β = 90.00°, γ = 90.00°
Atoms (fractional coordinates):
1 La 0.5000 0.0000 0.0000
2 La 0.0000 0.5000 0.0000
3 Ga 0.0000 0.0000 0.0000
4 La 0.0000 0.0000 0.5000
5 Cs 0.5000 0.5000 0.5000

(15)
## CsLa2ZnGa (meta-GGA SCAN)

Data for a PBEsol-optimized structure of CsLa2ZnGa.

The energy of formation from the pure elements is 1.189 eV per atom. As for the space-group type: No. 123. The magnetic moment comes out at 0.00 Bohr magnetons per cell.

a = 5.3963 Å, b = 5.7924 Å, c = 5.7924 Å
α = 90.00°, β = 90.00°, γ = 90.00°
Atoms (fractional coordinates):
1 Cs 0.0000 0.0000 0.0000
2 La 0.0000 0.0000 0.5000
3 La 0.0000 0.5000 0.0000
4 Zn 0.5000 0.5000 0.5000
5 Ga 0.5000 0.0000 0.0000

(16)
## CsLi3Ga (meta-GGA SCAN)

Data for a PBEsol-optimized structure of CsLi3Ga.

The energy of formation from the pure elements is 0.952 eV per atom. As for the space-group type: No. 221. The magnetic moment comes out at 0.00 Bohr magnetons per cell.

a = 5.3178 Å, b = 5.3178 Å, c = 5.3178 Å
α = 90.00°, β = 90.00°, γ = 90.00°
Atoms (fractional coordinates):
1 Cs 0.0000 0.0000 0.0000
2 Li 0.0000 0.0000 0.5000
3 Ga 0.5000 0.5000 0.5000
4 Li 0.0000 0.5000 0.0000
5 Li 0.5000 0.0000 0.0000

(17)
## CsLi2NbGa (meta-GGA SCAN)

Data for a PBEsol-optimized structure of CsLi2NbGa.

The energy of formation from the pure elements is 1.079 eV per atom. As for the space-group type: No. 123. The magnetic moment comes out at 4.29 Bohr magnetons per cell.

a = 5.1171 Å, b = 5.1171 Å, c = 6.1187 Å
α = 90.00°, β = 90.00°, γ = 90.00°
Atoms (fractional coordinates):
1 Ga 0.0000 0.0000 0.0000
2 Nb 0.5000 0.5000 0.5000
3 Li 0.0000 0.5000 0.0000
4 Li 0.5000 0.0000 0.0000
5 Cs 0.0000 0.0000 0.5000

(18)
## Cs2Li3GaO4 (meta-GGA SCAN)

Data for a PBEsol-optimized structure of Cs2Li3GaO4.

As for the formation energy without anion corrections: -1.9353 eV per atom. As for the space-group type: No. 72. The magnetic moment comes out at 0.00 Bohr magnetons per cell.

a = 4.9997 Å, b = 8.0704 Å, c = 8.0704 Å
α = 76.08°, β = 71.96°, γ = 71.96°
Atoms (fractional coordinates):
1 Li 0.7500 0.9903 0.5097
2 O 0.4081 0.9438 0.7071
3 O 0.0591 0.2929 0.0562
4 O 0.9409 0.7071 0.9438
5 Cs 0.2612 0.8723 0.1277
6 Li 0.7500 0.5097 0.9903
7 Li 0.2500 0.2500 0.2500
8 Cs 0.7388 0.1277 0.8723
9 Ga 0.2500 0.7500 0.7500
10 Cs 0.2388 0.3723 0.6277
11 O 0.5919 0.0562 0.2929
12 Cs 0.7612 0.6277 0.3723
13 Li 0.2500 0.4903 0.0097
14 Ga 0.7500 0.2500 0.2500
15 Li 0.2500 0.0097 0.4903
16 O 0.0919 0.7929 0.5562
17 Li 0.7500 0.7500 0.7500
18 O 0.9081 0.2071 0.4438
19 O 0.5591 0.5562 0.7929
20 O 0.4409 0.4438 0.2071

(19)
## CsMn3Ga (meta-GGA SCAN)

Data for a PBEsol-optimized structure of CsMn3Ga.

The energy of formation from the pure elements is 2.170 eV per atom. As for the space-group type: No. 221. The magnetic moment comes out at 11.06 Bohr magnetons per cell.

a = 4.8769 Å, b = 4.8769 Å, c = 4.8769 Å
α = 90.00°, β = 90.00°, γ = 90.00°
Atoms (fractional coordinates):
1 Mn 0.0000 0.0000 0.5000
2 Cs 0.0000 0.0000 0.0000
3 Ga 0.5000 0.5000 0.5000
4 Mn 0.5000 0.0000 0.0000
5 Mn 0.0000 0.5000 0.0000

(20)
## CsNa3Ga (meta-GGA SCAN)

Data for a PBEsol-optimized structure of CsNa3Ga.

The energy of formation from the pure elements is 0.839 eV per atom. As for the space-group type: No. 221. The magnetic moment comes out at 0.00 Bohr magnetons per cell.

a = 6.5117 Å, b = 6.5117 Å, c = 6.5117 Å
α = 90.00°, β = 90.00°, γ = 90.00°
Atoms (fractional coordinates):
1 Na 0.0000 0.0000 0.5000
2 Ga 0.5000 0.5000 0.5000
3 Na 0.5000 0.0000 0.0000
4 Na 0.0000 0.5000 0.0000
5 Cs 0.0000 0.0000 0.0000